! Cd2AsIr2 PBE relaxed; values from VASP
! Space-group type   No. 127
! DOS(E_F)   7.01 states/eV/cell
! Energy of formation   85 meV/atom
! E   -4.756 eV/atom
&SYSTEM
  ibrav = 0, nat = 10, ntyp = 3
/
ATOMIC_SPECIES
Cd 112.41 Cd.upf
Ir 192.22 Ir.upf
As 74.92 As.upf
ATOMIC_POSITIONS crystal
Cd 0.8419 0.3419 0.5000
Ir 0.3478 0.8478 0.0000
Ir 0.1522 0.3478 0.0000
As 0.0000 0.0000 0.0000
As 0.5000 0.5000 0.0000
Ir 0.6522 0.1522 0.0000
Cd 0.3419 0.1581 0.5000
Cd 0.1581 0.6581 0.5000
Cd 0.6581 0.8419 0.5000
Ir 0.8478 0.6522 0.0000
CELL_PARAMETERS angstrom
-3.5222 3.3691 -4.1375
-3.2218 -5.2947 -1.5688
-2.9853 0.8568 3.2390



! IrC PBE relaxed; values from VASP
! Space-group type   No. 139
! Offset from the most stable computed form   135 meV/atom
! DOS(E_F)   1.25 states/eV/cell
! Energy of formation   593 meV/atom
! E   -8.450 eV/atom
&SYSTEM
  ibrav = 0, nat = 8, ntyp = 2
/
ATOMIC_SPECIES
Ir 192.22 Ir.upf
C 12.01 C.upf
ATOMIC_POSITIONS crystal
Ir 0.5000 0.0000 0.2500
C 0.5000 0.5000 0.6090
C 0.5000 0.5000 0.3910
Ir 0.0000 0.5000 0.7500
Ir 0.5000 0.0000 0.7500
C 0.0000 0.0000 0.8910
C 0.0000 0.0000 0.1090
Ir 0.0000 0.5000 0.2500
CELL_PARAMETERS angstrom
3.7642 0.0000 0.0000
0.0000 3.7642 0.0000
0.0000 0.0000 6.9164